Here is a relaxed structure of Al2CuF from the Alexandria database. Energies are from GGA-PBEsol.

a = 4.246 Å, b = 4.246 Å, c = 4.246 Å
α = 60.00°, β = 60.00°, γ = 60.00°
Fractional coordinates of all 4 atoms:
Al 0.250 0.250 0.250
Al 0.750 0.750 0.750
Cu 0.000 0.000 0.000
F 0.500 0.500 0.500

Calculated values
DFT total energy ... -4.082 eV/atom
Space group ... Fm-3m (225)
Total magnetic moment ... 0.0 μB/f.u.
Density ... 4.19 g/cm³
Raw formation energy ... -0.471 eV/atom


Here is a relaxed structure of AlCuF2 from the Alexandria database. Energies are from GGA-PBEsol.

a = 7.057 Å, b = 7.057 Å, c = 7.057 Å
α = 22.72°, β = 22.72°, γ = 22.72°
Fractional coordinates of all 4 atoms:
Al 0.000 0.000 0.000
Cu 0.500 0.500 0.500
F 0.091 0.091 0.091
F 0.909 0.909 0.909

Calculated values
Offset from the most stable computed form ... 0.000 eV/atom
DFT total energy ... -4.438 eV/atom
Space group ... R-3m (166)
Total magnetic moment ... 0.0 μB/f.u.
Density ... 4.64 g/cm³
Raw formation energy ... -1.368 eV/atom